Version A
First-principles (PBE) data for a geometry-optimized ScReHg structure, as listed in the Alexandria database.

```
data_ScReHg
_chemical_formula_sum 'Sc1 Re1 Hg1'
_cell_length_a 4.8197
_cell_length_b 4.8197
_cell_length_c 2.8101
_cell_angle_alpha 90.00
_cell_angle_beta 90.00
_cell_angle_gamma 120.00
_space_group_name_H-M_alt 'P -6 m 2'
_space_group_IT_number 187
_space_group_name_Hall 'P -6 2'
loop_
_atom_site_label
_atom_site_type_symbol
_atom_site_fract_x
_atom_site_fract_y
_atom_site_fract_z
Sc1 Sc 0.0000 0.0000 0.0000
Re1 Re 0.6667 0.3333 0.5000
Hg1 Hg 0.3333 0.6667 0.5000
```

The density of states at the Fermi level is 1.432 states/eV per atom.



Version B
First-principles (PBE) data for a geometry-optimized ScReHg structure, as listed in the Alexandria database.

```
data_ScReHg
_chemical_formula_sum 'Sc2 Re2 Hg2'
_cell_length_a 3.419
_cell_length_b 3.419
_cell_length_c 9.588
_cell_angle_alpha 90.00
_cell_angle_beta 90.00
_cell_angle_gamma 90.00
_space_group_name_H-M_alt 'I 4 m m'
_space_group_IT_number 107
_space_group_name_Hall 'I 4 -2'
loop_
_atom_site_label
_atom_site_type_symbol
_atom_site_fract_x
_atom_site_fract_y
_atom_site_fract_z
Sc1 Sc 0.000 0.000 0.000
Re1 Re 0.000 0.000 0.652
Hg1 Hg 0.000 0.000 0.316
```

The density of states at the Fermi level is 1.371 states/eV per atom.



Most favorable structure: version B. The second most favorable one is 1.9 kJ/mol of atoms above it.



Version A
First-principles (PBE) data for a geometry-optimized TcPBr2 structure, as listed in the Alexandria database.

```
data_TcPBr2
_chemical_formula_sum 'Tc1 P1 Br2'
_cell_length_a 5.024
_cell_length_b 3.670
_cell_length_c 5.601
_cell_angle_alpha 90.00
_cell_angle_beta 108.11
_cell_angle_gamma 90.00
_space_group_name_H-M_alt 'P 1 m 1'
_space_group_IT_number 6
loop_
_space_group_symop_operation_xyz
'x,y,z'
'x,-y,z'
loop_
_atom_site_label
_atom_site_type_symbol
_atom_site_fract_x
_atom_site_fract_y
_atom_site_fract_z
Tc1 Tc 0.000 0.000 0.000
P1 P 0.936 0.500 0.770
Br1 Br 0.155 0.500 0.395
Br2 Br 0.543 0.000 0.115
```

The density of states at the Fermi level is 0.386 states/eV per atom.



Version B
First-principles (PBE) data for a geometry-optimized TcPBr2 structure, as listed in the Alexandria database.

```
data_TcPBr2
_chemical_formula_sum 'Tc1 P1 Br2'
_cell_length_a 3.225
_cell_length_b 4.436
_cell_length_c 5.831
_cell_angle_alpha 90.00
_cell_angle_beta 90.00
_cell_angle_gamma 90.00
_space_group_name_H-M_alt 'P m m m'
_space_group_IT_number 47
loop_
_space_group_symop_operation_xyz
'x,y,z'
'-x,-y,-z'
'-x,-y,z'
'x,y,-z'
'x,-y,-z'
'-x,y,z'
'-x,y,-z'
'x,-y,z'
loop_
_atom_site_label
_atom_site_type_symbol
_atom_site_fract_x
_atom_site_fract_y
_atom_site_fract_z
Tc1 Tc 0.000 0.000 0.000
P1 P 0.500 0.000 0.500
Br1 Br 0.000 0.500 0.500
Br2 Br 0.500 0.500 0.000
```

The density of states at the Fermi level is 0.677 states/eV per atom.



Most favorable structure: version A. The second most favorable one is 94.8 kJ/mol of atoms above it.



Version A
First-principles (PBE) data for a geometry-optimized Mg2Ti2F structure, as listed in the Alexandria database.

```
data_Mg2Ti2F
_chemical_formula_sum 'Mg4 Ti4 F2'
_cell_length_a 3.758
_cell_length_b 3.758
_cell_length_c 13.933
_cell_angle_alpha 90.00
_cell_angle_beta 90.00
_cell_angle_gamma 90.00
_space_group_name_H-M_alt 'I 4/m m m'
_space_group_IT_number 139
_space_group_name_Hall '-I 4 2'
loop_
_atom_site_label
_atom_site_type_symbol
_atom_site_fract_x
_atom_site_fract_y
_atom_site_fract_z
Mg1 Mg 0.000 0.500 0.250
Ti1 Ti 0.000 0.000 0.072
F1 F 0.000 0.000 0.500
```

The density of states at the Fermi level is 0.814 states/eV per atom.



Version B
First-principles (PBE) data for a geometry-optimized Mg2Ti2F structure, as listed in the Alexandria database.

```
data_Mg2Ti2F
_chemical_formula_sum 'Mg4 Ti4 F2'
_cell_length_a 5.724
_cell_length_b 5.724
_cell_length_c 5.400
_cell_angle_alpha 90.00
_cell_angle_beta 90.00
_cell_angle_gamma 90.00
_space_group_name_H-M_alt 'P 4/m b m'
_space_group_IT_number 127
_space_group_name_Hall '-P 4 2ab'
loop_
_atom_site_label
_atom_site_type_symbol
_atom_site_fract_x
_atom_site_fract_y
_atom_site_fract_z
Mg1 Mg 0.168 0.332 0.000
Ti1 Ti 0.158 0.658 0.500
F1 F 0.000 0.000 0.500
```

The density of states at the Fermi level is 1.344 states/eV per atom.



Most favorable structure: version B. The second most favorable one is 84.3 kJ/mol of atoms above it.



Version A
First-principles (PBE) data for a geometry-optimized Hg2IrCl structure, as listed in the Alexandria database.

```
data_Hg2IrCl
_chemical_formula_sum 'Hg4 Ir2 Cl2'
_cell_length_a 4.140
_cell_length_b 4.140
_cell_length_c 9.158
_cell_angle_alpha 90.00
_cell_angle_beta 90.00
_cell_angle_gamma 90.00
_space_group_name_H-M_alt 'I 4/m m m'
_space_group_IT_number 139
_space_group_name_Hall '-I 4 2'
loop_
_atom_site_label
_atom_site_type_symbol
_atom_site_fract_x
_atom_site_fract_y
_atom_site_fract_z
Hg1 Hg 0.000 0.500 0.250
Ir1 Ir 0.000 0.000 0.000
Cl1 Cl 0.000 0.000 0.500
```

The density of states at the Fermi level is 0.638 states/eV per atom.



Version B
First-principles (PBE) data for a geometry-optimized Hg2IrCl structure, as listed in the Alexandria database.

```
data_Hg2IrCl
_chemical_formula_sum 'Hg4 Ir2 Cl2'
_cell_length_a 5.795
_cell_length_b 3.389
_cell_length_c 8.773
_cell_angle_alpha 90.00
_cell_angle_beta 102.62
_cell_angle_gamma 90.00
_space_group_name_H-M_alt 'C 1 2/m 1'
_space_group_IT_number 12
loop_
_space_group_symop_operation_xyz
'x,y,z'
'-x,-y,-z'
'-x,y,-z'
'x,-y,z'
'x+1/2,y+1/2,z'
'-x+1/2,-y+1/2,-z'
'-x+1/2,y+1/2,-z'
'x+1/2,-y+1/2,z'
loop_
_atom_site_label
_atom_site_type_symbol
_atom_site_fract_x
_atom_site_fract_y
_atom_site_fract_z
Hg1 Hg 0.081 0.000 0.265
Ir1 Ir 0.000 0.500 0.500
Cl1 Cl 0.000 0.500 0.000
```

The density of states at the Fermi level is 0.707 states/eV per atom.



Most favorable structure: version B. The second most favorable one is 37.7 kJ/mol of atoms above it.